# 1
! Ce5PrHg6 | Alexandria | PBE-GGA | optimized geometry; values from VASP
&SYSTEM
  ibrav = 0, nat = 12, ntyp = 3
/
ATOMIC_SPECIES
Ce 140.12 Ce.upf
Pr 140.91 Pr.upf
Hg 200.59 Hg.upf
ATOMIC_POSITIONS angstrom
Ce 0.0000 0.0000 0.0000
Ce 1.7339 0.0000 3.4198
Ce 5.1441 0.0000 1.7276
Ce 10.2420 0.0000 3.4082
Ce 13.6522 0.0000 1.7160
Pr 8.5397 0.0000 0.0000
Hg 4.2579 1.9510 4.2830
Hg 7.6931 1.9735 2.5679
Hg 11.1282 1.9510 0.8528
Hg 4.2579 -1.9510 4.2830
Hg 7.6931 -1.9735 2.5679
Hg 11.1282 -1.9510 0.8528
CELL_PARAMETERS angstrom
8.5397 -3.8582 0.0000
8.5397 3.8582 0.0000
-1.6933 0.0000 5.1358
! Calculated formation energy   -0.30 eV/atom


# 2
! K3ScSb2O9 | Alexandria | PBE-GGA | optimized geometry; values from VASP
&SYSTEM
  ibrav = 0, nat = 15, ntyp = 4
/
ATOMIC_SPECIES
K 39.10 K.upf
Sc 44.96 Sc.upf
Sb 121.76 Sb.upf
O 16.00 O.upf
ATOMIC_POSITIONS angstrom
K 0.0000 0.0000 0.0000
K 0.0000 3.3336 4.7050
K 2.8869 1.6668 2.3986
Sc 0.0000 0.0000 3.5518
Sb 0.0000 3.3336 1.1768
Sb 2.8869 1.6668 5.9268
O -1.4435 2.5002 0.0000
O 0.0000 1.7083 2.3085
O -1.4075 4.1462 2.3085
O 1.4794 0.8541 4.7951
O 2.8869 0.0000 0.0000
O 1.4435 2.5002 0.0000
O 1.4075 4.1462 2.3085
O 4.2945 0.8541 4.7951
O 2.8869 3.2921 4.7951
CELL_PARAMETERS angstrom
5.7739 0.0000 0.0000
-2.8869 5.0003 0.0000
0.0000 0.0000 7.1036
! Energy relative to the elements, uncorrected   -1706 meV/atom


# 3
! ErZr2Co | Alexandria | PBE-GGA | optimized geometry; values from VASP
&SYSTEM
  ibrav = 0, nat = 4, ntyp = 3
/
ATOMIC_SPECIES
Er 167.26 Er.upf
Zr 91.22 Zr.upf
Co 58.93 Co.upf
ATOMIC_POSITIONS angstrom
Er 0.0000 0.0000 0.0000
Zr 1.6275 1.6275 2.4177
Zr 1.6275 1.6275 5.5455
Co 0.0000 0.0000 3.9816
CELL_PARAMETERS angstrom
3.2551 0.0000 0.0000
0.0000 3.2551 0.0000
0.0000 0.0000 7.9631
! Calculated formation energy   -0.02 eV/atom


# 4
! LaGa9Fe2 | Alexandria | PBE-GGA | optimized geometry; values from VASP
&SYSTEM
  ibrav = 0, nat = 12, ntyp = 3
/
ATOMIC_SPECIES
La 138.91 La.upf
Ga 69.72 Ga.upf
Fe 55.84 Fe.upf
ATOMIC_POSITIONS angstrom
La 0.0000 0.0000 0.0000
Ga -1.9860 3.4399 0.0000
Ga 0.0000 2.8391 1.9146
Ga -1.5133 5.4603 1.9146
Ga 2.4587 1.4195 1.9146
Ga 3.9721 0.0000 0.0000
Ga 1.9860 3.4399 0.0000
Ga 1.5133 5.4603 1.9146
Ga 5.4854 1.4195 1.9146
Ga 3.9721 4.0407 1.9146
Fe 0.0000 4.5865 0.0000
Fe 3.9721 2.2933 0.0000
CELL_PARAMETERS angstrom
7.9441 0.0000 0.0000
-3.9721 6.8798 0.0000
0.0000 0.0000 3.8292
! Calculated formation energy   -0.29 eV/atom


# 5
! Tl12Hg5Au3 | Alexandria | PBE-GGA | optimized geometry; values from VASP
&SYSTEM
  ibrav = 0, nat = 80, ntyp = 3
/
ATOMIC_SPECIES
Tl 204.38 Tl.upf
Hg 200.59 Hg.upf
Au 196.97 Au.upf
ATOMIC_POSITIONS angstrom
Tl 8.4830 -1.5004 2.6476
Tl 13.4878 -1.7466 2.8938
Tl 2.6476 -0.3053 1.5004
Tl 10.5349 5.8946 -4.6995
Tl 11.4359 0.3053 1.5004
Tl 10.5349 -2.8938 4.6995
Tl 1.5004 2.6476 -0.3053
Tl 11.6821 4.0888 -1.7466
Tl 5.8946 4.6995 -1.7466
Tl 7.2879 2.6476 0.3053
Tl -0.3053 1.5004 2.6476
Tl 4.6995 -1.7466 5.8946
Tl 8.4830 7.2879 -2.6476
Tl 4.6995 1.7466 2.8938
Tl 7.2879 -2.6476 8.4830
Tl 5.8946 -4.6995 10.5349
Tl 2.8938 4.6995 1.7466
Tl 10.2887 6.1408 0.3053
Tl 2.6476 8.4830 -1.5004
Tl 10.5349 2.8938 4.0888
Tl 1.7466 2.8938 4.6995
Tl 2.6476 0.3053 7.2879
Tl 4.6995 10.5349 -2.8938
Tl 8.4830 1.5004 6.1408
Tl 0.3053 7.2879 2.6476
Tl 4.0888 -1.7466 11.6821
Tl 6.1408 8.4830 1.5004
Tl 7.0417 5.8946 4.0888
Tl -1.7466 5.8946 4.6995
Tl 6.1408 0.3053 10.2887
Tl -1.5004 2.6476 8.4830
Tl 5.8946 4.0888 7.0417
Tl 2.8938 13.4878 -1.7466
Tl 1.5004 11.4359 0.3053
Tl 4.0888 7.0417 5.8946
Tl 0.3053 1.5004 11.4359
Tl 4.0888 10.5349 2.8938
Tl 9.0937 7.2879 6.1408
Tl 1.5004 6.1408 8.4830
Tl 2.8938 4.0888 10.5349
Tl -2.8938 4.6995 10.5349
Tl 7.2879 6.1408 9.0937
Tl -1.7466 11.6821 4.0888
Tl -2.6476 8.4830 7.2879
Tl -1.7466 2.8938 13.4878
Tl 6.1408 9.0937 7.2879
Tl -4.6995 10.5349 5.8946
Tl 0.3053 10.2887 6.1408
Hg 0.0000 0.0000 0.0000
Hg 4.3942 4.3942 -4.3942
Hg 4.3942 -4.3942 4.3942
Hg 8.7883 0.0000 0.0000
Hg 13.1825 2.1971 0.0000
Hg 8.7883 -4.3942 6.5912
Hg 6.5912 8.7883 -4.3942
Hg 6.5912 0.0000 4.3942
Hg 4.3942 6.5912 0.0000
Hg 8.7883 4.3942 2.1971
Hg -4.3942 4.3942 4.3942
Hg 0.0000 8.7883 0.0000
Hg 0.0000 0.0000 8.7883
Hg 4.3942 4.3942 4.3942
Hg 0.0000 4.3942 6.5912
Hg 4.3942 2.1971 8.7883
Hg 2.1971 8.7883 4.3942
Hg 2.1971 0.0000 13.1825
Hg 0.0000 13.1825 2.1971
Hg -4.3942 6.5912 8.7883
Au 4.3942 2.1971 0.0000
Au 8.7883 4.3942 -2.1971
Au 2.1971 0.0000 4.3942
Au 10.9854 0.0000 4.3942
Au 0.0000 4.3942 2.1971
Au 4.3942 -2.1971 8.7883
Au 4.3942 10.9854 0.0000
Au 8.7883 4.3942 6.5912
Au -2.1971 8.7883 4.3942
Au 6.5912 8.7883 4.3942
Au 0.0000 4.3942 10.9854
Au 4.3942 6.5912 8.7883
CELL_PARAMETERS angstrom
-8.7883 8.7883 8.7883
8.7883 -8.7883 8.7883
8.7883 8.7883 -8.7883
! Calculated formation energy   0.13 eV/atom


# 6
! Ti12P5H2 | Alexandria | PBE-GGA | optimized geometry; values from VASP
&SYSTEM
  ibrav = 0, nat = 19, ntyp = 3
/
ATOMIC_SPECIES
Ti 47.87 Ti.upf
P 30.97 P.upf
H 1.01 H.upf
ATOMIC_POSITIONS angstrom
Ti 12.8715 0.0000 1.3155
Ti -1.6995 0.0000 5.7769
Ti 2.6928 1.4946 6.5451
Ti 3.8250 1.4875 3.0586
Ti 7.3469 1.4875 4.0338
Ti 8.4791 1.4946 0.5474
Ti 5.0108 0.0000 5.3569
Ti 6.1611 0.0000 1.7355
Ti 2.6928 -1.4946 6.5451
Ti 3.8250 -1.4875 3.0586
Ti 7.3469 -1.4875 4.0338
Ti 8.4791 -1.4946 0.5474
P -1.0463 0.0000 3.5462
P 2.5620 0.0000 4.5779
P 3.7018 0.0000 1.0927
P 7.4702 0.0000 5.9997
P 8.6099 0.0000 2.5145
H 6.6323 1.5410 0.0000
H 6.6323 -1.5410 0.0000
CELL_PARAMETERS angstrom
6.6323 -3.0585 0.0000
6.6323 3.0585 0.0000
-2.0926 0.0000 7.0924
! VASP energy   -7.45 eV/atom


# 7
! Tl2GaAgSe4 | Alexandria | PBE-GGA | optimized geometry; values from VASP
&SYSTEM
  ibrav = 0, nat = 8, ntyp = 4
/
ATOMIC_SPECIES
Tl 204.38 Tl.upf
Ga 69.72 Ga.upf
Ag 107.87 Ag.upf
Se 78.96 Se.upf
ATOMIC_POSITIONS angstrom
Tl 0.0000 0.0000 0.0000
Tl 0.0000 3.5859 2.2289
Ga 3.5859 0.0000 2.2289
Ag 0.0000 0.0000 4.4578
Se 2.0988 -1.4200 3.5205
Se 2.1659 1.4872 0.9373
Se 1.4872 5.0060 -0.9373
Se 1.4200 2.0988 5.3950
CELL_PARAMETERS angstrom
-3.5859 3.5859 4.4578
3.5859 -3.5859 4.4578
3.5859 3.5859 -4.4578
! Energy relative to the elements, uncorrected   -328 meV/atom


# 8
! Rb3TlAg2Br6 | Alexandria | PBE-GGA | optimized geometry; values from VASP
&SYSTEM
  ibrav = 0, nat = 12, ntyp = 4
/
ATOMIC_SPECIES
Rb 85.47 Rb.upf
Tl 204.38 Tl.upf
Ag 107.87 Ag.upf
Br 79.90 Br.upf
ATOMIC_POSITIONS angstrom
Rb 0.0000 0.0000 0.0000
Rb 0.0000 5.0450 5.3499
Rb 4.3691 2.5225 3.5130
Tl 0.0000 0.0000 4.4315
Ag 0.0000 5.0450 1.8313
Ag 4.3691 2.5225 7.0316
Br 0.0000 2.5104 2.4206
Br -2.1950 6.3123 2.4206
Br 2.1741 1.2552 6.4423
Br 2.1950 6.3123 2.4206
Br 6.5641 1.2552 6.4423
Br 4.3691 5.0571 6.4423
CELL_PARAMETERS angstrom
8.7382 0.0000 0.0000
-4.3691 7.5675 0.0000
0.0000 0.0000 8.8629
! Energy relative to the elements, uncorrected   -1023 meV/atom


# 9
! Ca2TlIrO8 | Alexandria | PBE-GGA | optimized geometry; values from VASP
&SYSTEM
  ibrav = 0, nat = 12, ntyp = 4
/
ATOMIC_SPECIES
Ca 40.08 Ca.upf
Tl 204.38 Tl.upf
Ir 192.22 Ir.upf
O 16.00 O.upf
ATOMIC_POSITIONS angstrom
Ca 0.0000 1.7926 0.0000
Ca 0.0000 5.3848 0.0000
Tl 2.3235 0.0000 2.4967
Ir 2.3235 3.5887 2.4967
O 0.9678 0.0000 1.0375
O 1.0518 3.5887 1.1247
O 1.3670 2.2475 3.3838
O 1.3670 4.9299 3.3838
O 3.2800 2.2475 1.6096
O 3.2800 4.9299 1.6096
O 3.5952 3.5887 3.8687
O 3.6792 0.0000 3.9559
CELL_PARAMETERS angstrom
4.9835 0.0000 0.0000
0.0000 7.1774 0.0000
-0.3365 0.0000 4.9934
! Energy relative to the elements, uncorrected   -1262 meV/atom


# 10
! LiIr2PtO | Alexandria | PBE-GGA | optimized geometry; values from VASP
&SYSTEM
  ibrav = 0, nat = 5, ntyp = 4
/
ATOMIC_SPECIES
Li 6.94 Li.upf
Ir 192.22 Ir.upf
Pt 195.08 Pt.upf
O 16.00 O.upf
ATOMIC_POSITIONS angstrom
Li 0.0000 0.0000 0.0000
Ir 0.0000 2.0452 1.9331
Ir 2.0452 0.0000 1.9331
Pt 2.0452 2.0452 0.0000
O 0.0000 0.0000 1.9331
CELL_PARAMETERS angstrom
4.0903 0.0000 0.0000
0.0000 4.0903 0.0000
0.0000 0.0000 3.8663
! Energy relative to the elements, uncorrected   -62 meV/atom


# 11
! Hf2GaW | Alexandria | PBE-GGA | optimized geometry; values from VASP
&SYSTEM
  ibrav = 0, nat = 4, ntyp = 3
/
ATOMIC_SPECIES
Hf 178.49 Hf.upf
Ga 69.72 Ga.upf
W 183.84 W.upf
ATOMIC_POSITIONS angstrom
Hf 0.0000 0.0000 2.7440
Hf 0.0000 0.0000 28.3321
Ga 0.0000 0.0000 15.5380
W 0.0000 0.0000 0.0000
CELL_PARAMETERS angstrom
1.4726 0.8502 10.3587
-1.4726 0.8502 10.3587
0.0000 -1.7004 10.3587
! Calculated formation energy   0.32 eV/atom


# 12
! LiPb2Se | Alexandria | PBE-GGA | optimized geometry; values from VASP
&SYSTEM
  ibrav = 0, nat = 4, ntyp = 3
/
ATOMIC_SPECIES
Li 6.94 Li.upf
Pb 207.20 Pb.upf
Se 78.96 Se.upf
ATOMIC_POSITIONS angstrom
Li 0.0000 0.0000 0.0000
Pb 0.0000 2.4481 2.5898
Pb 2.0667 2.4481 0.0000
Se 2.0667 0.0000 2.5898
CELL_PARAMETERS angstrom
4.1334 0.0000 0.0000
0.0000 4.8961 0.0000
0.0000 0.0000 5.1796
! Energy relative to the elements, uncorrected   -231 meV/atom


Looking at ρ for the records above, in order, we have 10.03 4.45 8.04 6.97 9.90 4.22 6.53 3.28 5.62 15.47 13.03 7.93 g/cm³.